Record 1
The following is a DFT calculation (PBE) of LiPmTlZn after structural relaxation.

The structure in POSCAR format:
```
LiPmTlZn
1.0
5.070 0.000 0.000
2.535 4.391 0.000
2.535 1.464 4.140
Li Zn Tl Pm
1 1 1 1
direct
0.250 0.250 0.250
0.000 0.000 0.000
0.500 0.500 0.500
0.750 0.750 0.750
```

Space-group type = F-43m, No. 216
Formation energy = -0.2923 eV per atom
Volume = 23.0 Å³ per atom
Fermi-level density of states = 2.0 states/eV per cell

***

Record 2
The following is a DFT calculation (PBE) of LiPmTm after structural relaxation.

The structure in POSCAR format:
```
LiPmTm
1.0
-1.300 -2.210 -2.366
3.320 1.047 -0.230
2.365 -6.457 4.731
Li Pm Tm
1 1 1
direct
0.000 0.000 0.995
0.667 0.333 0.332
0.333 0.667 0.672
```

Offset from the most stable computed form = 2.3 kJ per mole of atoms
Space-group type = P3m1, No. 156
Formation energy = 0.1107 eV per atom
Volume = 29.3 Å³ per atom
Fermi-level density of states = 3.3 states/eV per cell

***

Record 3
The following is a DFT calculation (PBE) of LiPmTm2 after structural relaxation.

The structure in POSCAR format:
```
LiPmTm2
1.0
-2.590 -2.253 -0.418
0.011 -2.168 -2.695
5.156 -9.609 5.532
Pm Li Tm
1 1 2
direct
0.500 0.500 0.500
0.000 0.000 0.000
0.912 0.912 0.264
0.088 0.088 0.736
```

Offset from the most stable computed form = 12.1 kJ per mole of atoms
Space-group type = R-3m, No. 166
Formation energy = 0.2065 eV per atom
Volume = 31.2 Å³ per atom
Fermi-level density of states = 5.7 states/eV per cell

***

Record 4
The following is a DFT calculation (PBE) of LiPmTm2 after structural relaxation.

The structure in POSCAR format:
```
LiPmTm2
1.0
3.495 -0.001 -0.001
1.747 3.028 -0.001
1.745 1.008 11.165
Tm Li Pm
2 1 1
direct
0.254 0.254 0.239
0.080 0.080 0.760
0.667 0.667 0.000
0.500 0.500 0.500
```

Offset from the most stable computed form = 4.5 kJ per mole of atoms
Space-group type = R3m, No. 160
Formation energy = 0.1281 eV per atom
Volume = 29.5 Å³ per atom
Fermi-level density of states = 4.5 states/eV per cell

***

Record 5
The following is a DFT calculation (PBE) of LiPmTm2 after structural relaxation.

The structure in POSCAR format:
```
LiPmTm2
1.0
-1.461 3.118 1.095
-1.844 0.225 -3.099
-6.607 -4.365 3.615
Tm Pm Li
2 1 1
direct
0.000 0.000 0.784
0.000 0.000 0.216
0.500 0.500 0.500
0.500 0.500 0.000
```

Offset from the most stable computed form = 0.0 kJ per mole of atoms
Space-group type = P4/mmm, No. 123
Formation energy = 0.0815 eV per atom
Volume = 28.4 Å³ per atom
Fermi-level density of states = 5.4 states/eV per cell

***

Record 6
The following is a DFT calculation (PBE) of LiPmTm after structural relaxation.

The structure in POSCAR format:
```
LiPmTm
1.0
-2.879 2.072 0.383
-1.591 -2.564 1.904
5.179 5.122 11.222
Li Tm Pm
2 2 2
direct
0.000 0.000 0.000
0.500 0.500 0.000
0.000 0.500 0.592
0.500 0.000 0.408
0.500 0.000 0.780
0.000 0.500 0.220
```

Offset from the most stable computed form = 4.6 kJ per mole of atoms
Space-group type = P4/nmm, No. 129
Formation energy = 0.1350 eV per atom
Volume = 28.4 Å³ per atom
Fermi-level density of states = 6.5 states/eV per cell

***

Record 7
The following is a DFT calculation (PBE) of LiPmTm after structural relaxation.

The structure in POSCAR format:
```
LiPmTm
1.0
-3.510 -0.394 -1.038
0.000 -3.441 1.308
-0.107 4.010 5.369
Tm Pm Li
1 1 1
direct
0.016 0.016 0.032
0.322 0.322 0.644
0.662 0.662 0.324
```

Offset from the most stable computed form = 0.0 kJ per mole of atoms
Space-group type = I4mm, No. 107
Formation energy = 0.0873 eV per atom
Volume = 27.9 Å³ per atom
Fermi-level density of states = 3.9 states/eV per cell

***

Record 8
The following is a DFT calculation (PBE) of LiPmTm after structural relaxation.

The structure in POSCAR format:
```
LiPmTm
1.0
3.383 0.920 0.245
0.888 3.392 0.245
-2.382 -2.405 16.272
Pm Tm Li
2 2 2
direct
0.367 0.367 0.096
0.633 0.633 0.904
0.758 0.758 0.268
0.242 0.242 0.732
0.855 0.855 0.570
0.145 0.145 0.430
```

Offset from the most stable computed form = 0.8 kJ per mole of atoms
Space-group type = C2/m, No. 12
Formation energy = 0.0959 eV per atom
Volume = 29.4 Å³ per atom
Fermi-level density of states = 6.3 states/eV per cell

***

Record 9
The following is a DFT calculation (PBE) of LiPmTm2 after structural relaxation.

The structure in POSCAR format:
```
LiPmTm2
1.0
3.691 0.000 0.000
0.000 5.612 0.000
0.000 0.000 5.612
Tm Pm Li
2 1 1
direct
0.000 0.500 0.000
0.000 0.000 0.500
0.500 0.000 0.000
0.500 0.500 0.500
```

Offset from the most stable computed form = 10.8 kJ per mole of atoms
Space-group type = P4/mmm, No. 123
Formation energy = 0.1933 eV per atom
Volume = 29.1 Å³ per atom
Fermi-level density of states = 6.0 states/eV per cell

***

Record 10
The following is a DFT calculation (PBE) of LiPmTm2 after structural relaxation.

The structure in POSCAR format:
```
LiPmTm2
1.0
5.478 0.000 0.000
2.739 4.744 0.000
2.739 1.581 4.473
Li Tm Pm
1 2 1
direct
0.500 0.500 0.500
0.250 0.250 0.250
0.750 0.750 0.750
0.000 0.000 0.000
```

Offset from the most stable computed form = 12.9 kJ per mole of atoms
Space-group type = Fm-3m, No. 225
Formation energy = 0.2149 eV per atom
Volume = 29.1 Å³ per atom
Fermi-level density of states = 4.1 states/eV per cell